Record 1
Density functional theory data (GGA-PBE) for a relaxed Y4Co5 crystal.

Computed properties:
D(E_F): 1.20 states/eV per atom
Spin magnetization: 6.4 μB per cell
Electronic total energy: -59.982 eV per formula unit
ΔE to the lowest computed polymorph: 0.1004 eV per atom
SG: P6_3/mcm, No. 193
E_form: 0.16 eV/atom

Cell: 8.1562 8.1562 5.7398 Å, 90.00 90.00 120.00°
Closest atoms and distances in Å follow each position.
Element x y z (fractional)
Y (0.0000, 0.0000, 0.0000)  6 Co 2.86, 2 Y 2.87
Y (0.0000, 0.0000, 0.5000)  6 Co 2.86, 2 Y 2.87
Y (0.0000, 0.3778, 0.2500)  3 Co 2.60-2.83
Y (0.0000, 0.6222, 0.7500)  3 Co 2.60-2.83
Y (0.3778, 0.0000, 0.2500)  3 Co 2.60-2.83
Y (0.3778, 0.3778, 0.7500)  3 Co 2.60-2.83
Y (0.6222, 0.0000, 0.7500)  3 Co 2.60-2.83
Y (0.6222, 0.6222, 0.2500)  3 Co 2.60-2.83
Co (0.0000, 0.3034, 0.7500)  5 Y 2.60-2.86
Co (0.0000, 0.6966, 0.2500)  5 Y 2.60-2.86
Co (0.3034, 0.0000, 0.7500)  5 Y 2.60-2.86
Co (0.3034, 0.3034, 0.2500)  5 Y 2.60-2.86
Co (0.3333, 0.6667, 0.0000)  8 Co 2.87-3.19, 6 Y 2.93
Co (0.3333, 0.6667, 0.5000)  8 Co 2.87-3.19, 6 Y 2.93
Co (0.6667, 0.3333, 0.0000)  8 Co 2.87-3.19, 6 Y 2.93
Co (0.6667, 0.3333, 0.5000)  8 Co 2.87-3.19, 6 Y 2.93
Co (0.6966, 0.0000, 0.2500)  5 Y 2.60-2.86
Co (0.6966, 0.6966, 0.7500)  5 Y 2.60-2.86


Record 2
Density functional theory data (GGA-PBE) for a relaxed YCo3 crystal.

Computed properties:
D(E_F): 1.46 states/eV per atom
Spin magnetization: 4.1 μB per cell
Electronic total energy: -26.943 eV per formula unit
SG: Immm, No. 71
E_form: 0.21 eV/atom

Cell: 5.0147 5.0147 5.0147 Å, 142.30 128.31 65.72°
Closest atoms and distances in Å follow each position.
Element x y z (fractional)
Y (0.0000, 0.0000, 0.0000)  12 Co 2.72-2.90
Co (0.2742, 0.7742, 0.5000)  6 Co 2.50-2.75
Co (0.5000, 0.5000, 0.0000)  4 Co 2.50, 4 Y 2.72
Co (0.7258, 0.2258, 0.5000)  6 Co 2.50-2.75


Record 3
Density functional theory data (GGA-PBE) for a relaxed YCo crystal.

Computed properties:
D(E_F): 0.91 states/eV per atom
Spin magnetization: 2.8 μB per cell
Electronic total energy: -13.547 eV per formula unit
SG: I4/mmm, No. 139
E_form: 0.01 eV/atom

Cell: 7.2880 7.2880 7.2880 Å, 94.15 94.15 148.78°
Closest atoms and distances in Å follow each position.
Element x y z (fractional)
Y (0.0000, 0.2723, 0.2723)  6 Co 2.81-2.96
Y (0.0000, 0.7277, 0.7277)  6 Co 2.81-2.96
Y (0.2723, 0.0000, 0.2723)  6 Co 2.81-2.96
Y (0.7277, 0.0000, 0.7277)  6 Co 2.81-2.96
Co (0.2829, 0.2829, 0.5659)  2 Co 2.17
Co (0.2829, 0.7171, 0.0000)  2 Co 2.17
Co (0.7171, 0.2829, 0.0000)  2 Co 2.17
Co (0.7171, 0.7171, 0.4341)  2 Co 2.17


Record 4
Density functional theory data (GGA-PBE) for a relaxed YCo2 crystal.

Computed properties:
D(E_F): 1.19 states/eV per atom
Spin magnetization: 4.6 μB per cell
Electronic total energy: -20.368 eV per formula unit
SG: Cm, No. 8
E_form: 0.10 eV/atom

Cell: 4.8090 4.8090 6.5375 Å, 96.31 96.31 45.37°
Closest atoms and distances in Å follow each position.
Element x y z (fractional)
Y (0.0000, 0.0000, 0.0000)  6 Co 2.78-3.05
Y (0.2344, 0.2344, 0.6401)  4 Co 2.54-2.84
Co (0.3182, 0.3182, 0.2346)  4 Co 2.31-2.46
Co (0.5159, 0.5159, 0.6039)  3 Co 2.35-2.45, 1 Y 2.54
Co (0.6470, 0.6470, 0.2950)  4 Co 2.45-2.52
Co (0.9289, 0.9289, 0.4025)  5 Co 2.31-2.52


Record 5
Density functional theory data (GGA-PBE) for a relaxed YCo2 crystal.

Computed properties:
D(E_F): 1.31 states/eV per atom
Spin magnetization: 8.7 μB per cell
Electronic total energy: -20.827 eV per formula unit
SG: Pnma, No. 62
E_form: -0.05 eV/atom

Cell: 5.1422 3.9009 10.4458 Å, 90.00 90.00 90.00°
Closest atoms and distances in Å follow each position.
Element x y z (fractional)
Y (0.1215, 0.2500, 0.1379)  4 Co 2.71-2.93
Y (0.3785, 0.7500, 0.6379)  4 Co 2.71-2.93
Y (0.6215, 0.2500, 0.3621)  4 Co 2.71-2.93
Y (0.8785, 0.7500, 0.8621)  4 Co 2.71-2.93
Co (0.1126, 0.2500, 0.4557)  5 Co 2.26-2.45
Co (0.1407, 0.7500, 0.3472)  3 Co 2.26-2.44
Co (0.3593, 0.2500, 0.8472)  3 Co 2.26-2.44
Co (0.3874, 0.7500, 0.9557)  5 Co 2.26-2.45
Co (0.6126, 0.2500, 0.0443)  5 Co 2.26-2.45
Co (0.6407, 0.7500, 0.1528)  3 Co 2.26-2.44
Co (0.8593, 0.2500, 0.6528)  3 Co 2.26-2.44
Co (0.8874, 0.7500, 0.5443)  5 Co 2.26-2.45


Record 6
Density functional theory data (GGA-PBE) for a relaxed YCo crystal.

Computed properties:
D(E_F): 1.22 states/eV per atom
Spin magnetization: 1.7 μB per cell
Electronic total energy: -13.228 eV per formula unit
SG: P-3m1, No. 164
E_form: 0.17 eV/atom

Cell: 3.6523 3.6523 7.8257 Å, 90.00 90.00 120.00°
Closest atoms and distances in Å follow each position.
Element x y z (fractional)
Y (0.3333, 0.6667, 0.3060)  4 Co 2.76-2.93
Y (0.6667, 0.3333, 0.6940)  4 Co 2.76-2.93
Co (0.3333, 0.6667, 0.9531)  3 Co 2.23
Co (0.6667, 0.3333, 0.0469)  3 Co 2.23


Record 7
Density functional theory data (GGA-PBE) for a relaxed YCo4 crystal.

Computed properties:
D(E_F): 2.06 states/eV per atom
Spin magnetization: 5.4 μB per cell
Electronic total energy: -27.088 eV per formula unit
ΔE to the lowest computed polymorph: 1.6310 eV per atom
SG: Im-3m, No. 229
E_form: 1.56 eV/atom

Cell: 4.9141 4.9141 4.9141 Å, 109.47 109.47 109.47°
Closest atoms and distances in Å follow each position.
Element x y z (fractional)
Y (0.0000, 0.0000, 0.0000)  8 Co 2.46
Co (0.0000, 0.0000, 0.5000)  2 Y 2.46
Co (0.0000, 0.5000, 0.0000)  2 Y 2.46
Co (0.5000, 0.0000, 0.0000)  2 Y 2.46
Co (0.5000, 0.5000, 0.5000)  2 Y 2.46


Record 8
Density functional theory data (GGA-PBE) for a relaxed YCo crystal.

Computed properties:
D(E_F): 1.08 states/eV per atom
Spin magnetization: 0.4 μB per cell
Electronic total energy: -13.959 eV per formula unit
SG: Cmcm, No. 63
E_form: -0.19 eV/atom

Cell: 5.5082 5.5082 3.8867 Å, 90.00 90.00 136.52°
Closest atoms and distances in Å follow each position.
Element x y z (fractional)
Y (0.1445, 0.8555, 0.7500)  7 Co 2.89-3.07
Y (0.8555, 0.1445, 0.2500)  7 Co 2.89-3.07
Co (0.4442, 0.5558, 0.7500)  2 Co 2.25
Co (0.5558, 0.4442, 0.2500)  2 Co 2.25


Record 9
Density functional theory data (GGA-PBE) for a relaxed YCo crystal.

Computed properties:
D(E_F): 1.51 states/eV per atom
Spin magnetization: 0.5 μB per cell
Electronic total energy: -12.359 eV per formula unit
SG: P6_3/mmc, No. 194
E_form: 0.61 eV/atom

Cell: 4.5864 4.5864 5.5098 Å, 90.00 90.00 120.00°
Closest atoms and distances in Å follow each position.
Element x y z (fractional)
Y (0.3333, 0.6667, 0.2500)  5 Co 2.65-2.75
Y (0.6667, 0.3333, 0.7500)  5 Co 2.65-2.75
Co (0.3333, 0.6667, 0.7500)  5 Y 2.65-2.75
Co (0.6667, 0.3333, 0.2500)  5 Y 2.65-2.75


Record 10
Density functional theory data (GGA-PBE) for a relaxed YCo4 crystal.

Computed properties:
D(E_F): 0.93 states/eV per atom
Spin magnetization: 5.9 μB per cell
Electronic total energy: -35.243 eV per formula unit
ΔE to the lowest computed polymorph: 0.0000 eV per atom
SG: I4/mmm, No. 139
E_form: -0.07 eV/atom

Cell: 5.5713 5.5713 5.5713 Å, 138.88 138.88 59.56°
Closest atoms and distances in Å follow each position.
Element x y z (fractional)
Y (0.0000, 0.0000, 0.0000)  16 Co 3.00-3.11
Co (0.2500, 0.7500, 0.5000)  4 Co 2.33
Co (0.3813, 0.3813, 0.0000)  5 Co 2.30-2.33
Co (0.6187, 0.6187, 0.0000)  5 Co 2.30-2.33
Co (0.7500, 0.2500, 0.5000)  4 Co 2.33


Record 11
Density functional theory data (GGA-PBE) for a relaxed YCo crystal.

Computed properties:
D(E_F): 0.23 states/eV per atom
Spin magnetization: 0.0 μB per cell
Electronic total energy: -12.441 eV per formula unit
SG: I-43m, No. 217
E_form: 0.56 eV/atom

Cell: 6.6909 6.6909 6.6909 Å, 109.47 109.47 109.47°
Closest atoms and distances in Å follow each position.
Element x y z (fractional)
Y (0.0000, 0.0000, 0.4284)  1 Co 2.37
Y (0.0000, 0.4284, 0.0000)  1 Co 2.37
Y (0.4284, 0.0000, 0.0000)  1 Co 2.37
Y (0.5716, 0.5716, 0.5716)  1 Co 2.37
Co (0.0000, 0.0000, 0.7828)  1 Y 2.37, 3 Co 2.37
Co (0.0000, 0.7828, 0.0000)  1 Y 2.37, 3 Co 2.37
Co (0.2172, 0.2172, 0.2172)  1 Y 2.37, 3 Co 2.37
Co (0.7828, 0.0000, 0.0000)  1 Y 2.37, 3 Co 2.37


Record 12
Density functional theory data (GGA-PBE) for a relaxed YCo crystal.

Computed properties:
D(E_F): 1.21 states/eV per atom
Spin magnetization: 0.4 μB per cell
Electronic total energy: -13.069 eV per formula unit
SG: P-6m2, No. 187
E_form: 0.25 eV/atom

Cell: 3.6928 3.6928 3.5872 Å, 90.00 90.00 120.00°
Closest atoms and distances in Å follow each position.
Element x y z (fractional)
Y (0.0000, 0.0000, 0.0000)  6 Co 2.79
Co (0.6667, 0.3333, 0.5000)  6 Y 2.79